Entry 1:
4
Lattice="0.000 3.180 3.180 3.180 0.000 3.180 3.180 3.180 0.000" Properties=species:S:1:pos:R:3 comment="CoMoIrPb GGA-PBE optimized geometry" magnetic_moment_mub_per_atom=0.0977 final_energy_ev_per_atom=-7.098 density_g_cm3=14.31 pbc="T T T"
Co 0.000 0.000 0.000
Mo 3.180 3.180 3.180
Ir 1.590 1.590 1.590
Pb 4.770 4.770 4.770



Entry 2:
6
Lattice="-1.586 2.617 3.861 1.586 -2.617 3.861 1.586 2.617 -3.861" Properties=species:S:1:pos:R:3 comment="ErZnB4 GGA-PBE optimized geometry" magnetic_moment_mub_per_atom=0.0001 final_energy_ev_per_atom=-5.608 density_g_cm3=7.14 pbc="T T T"
Er 0.000 0.000 0.000
Zn 0.000 0.000 3.861
B 1.586 -0.923 1.838
B 1.586 0.923 1.838
B 0.000 1.694 2.023
B 0.000 3.540 2.023